No. 1
# PBE PtAu, relaxed
data_PtAu
_space_group_name_H-M_alt 'P 1'
_space_group_IT_number 1
_space_group_name_Hall 'P 1'
_cell_length_a 5.710
_cell_length_b 5.710
_cell_length_c 11.197
_cell_angle_alpha 142.13
_cell_angle_beta 142.13
_cell_angle_gamma 28.65
loop_
_atom_site_label
_atom_site_fract_x
_atom_site_fract_y
_atom_site_fract_z
_atom_site_occupancy
Au1 0.002 0.002 0.002 1
Au2 0.108 0.108 0.721 1
Au3 0.669 0.669 0.334 1
Pt1 0.329 0.329 0.666 1
Pt2 0.452 0.452 0.388 1
Pt3 0.773 0.773 0.055 1
# - E (eV per atom) = -4.5821
# - calculated density (g/cm3) = 19.2
# - space group = Cm (8)
# - ΔH_f (0 K) (eV/atom) = 0.077

---

No. 2
# PBE IrPt2, relaxed
data_IrPt2
_space_group_name_H-M_alt 'P 1'
_space_group_IT_number 1
_space_group_name_Hall 'P 1'
_cell_length_a 2.802
_cell_length_b 3.916
_cell_length_c 4.822
_cell_angle_alpha 113.96
_cell_angle_beta 106.89
_cell_angle_gamma 90.00
loop_
_atom_site_label
_atom_site_fract_x
_atom_site_fract_y
_atom_site_fract_z
_atom_site_occupancy
Ir1 0.000 0.000 0.000 1
Pt1 0.335 0.335 0.670 1
Pt2 0.665 0.665 0.330 1
# - E (eV per atom) = -6.9053
# - calculated density (g/cm3) = 21.1
# - space group = Immm (71)
# - ΔH_f (0 K) (eV/atom) = 0.076

---

No. 3
# PBE TiBi2AsF, relaxed
data_TiBi2AsF
_space_group_name_H-M_alt 'P 1'
_space_group_IT_number 1
_space_group_name_Hall 'P 1'
_cell_length_a 5.686
_cell_length_b 3.908
_cell_length_c 5.686
_cell_angle_alpha 90.00
_cell_angle_beta 90.00
_cell_angle_gamma 90.00
loop_
_atom_site_label
_atom_site_fract_x
_atom_site_fract_y
_atom_site_fract_z
_atom_site_occupancy
As1 0.000 0.000 0.000 1
F1 0.000 0.500 0.000 1
Bi1 0.000 0.000 0.500 1
Bi2 0.500 0.000 0.000 1
Ti1 0.500 0.500 0.500 1
# - E (eV per atom) = -4.4356
# - calculated density (g/cm3) = 7.4
# - space group = P4/mmm (123)
# - uncorrected formation energy (eV/atom) = 0.00

---

No. 4
# PBE LuNbCoTc, relaxed
data_LuNbCoTc
_space_group_name_H-M_alt 'P 1'
_space_group_IT_number 1
_space_group_name_Hall 'P 1'
_cell_length_a 4.543
_cell_length_b 4.543
_cell_length_c 4.543
_cell_angle_alpha 60.00
_cell_angle_beta 60.00
_cell_angle_gamma 60.00
loop_
_atom_site_label
_atom_site_fract_x
_atom_site_fract_y
_atom_site_fract_z
_atom_site_occupancy
Nb1 0.250 0.250 0.250 1
Lu1 0.750 0.750 0.750 1
Co1 0.000 0.000 0.000 1
Tc1 0.500 0.500 0.500 1
# - E (eV per atom) = -8.1809
# - calculated density (g/cm3) = 10.6
# - space group = F-43m (216)
# - ΔH_f (0 K) (eV/atom) = -0.165

---

No. 5
# PBE PmHoHf, relaxed
data_PmHoHf
_space_group_name_H-M_alt 'P 1'
_space_group_IT_number 1
_space_group_name_Hall 'P 1'
_cell_length_a 4.667
_cell_length_b 4.667
_cell_length_c 8.291
_cell_angle_alpha 90.00
_cell_angle_beta 90.00
_cell_angle_gamma 90.00
loop_
_atom_site_label
_atom_site_fract_x
_atom_site_fract_y
_atom_site_fract_z
_atom_site_occupancy
Hf1 0.000 0.000 0.000 1
Hf2 0.500 0.500 0.000 1
Pm1 0.000 0.500 0.707 1
Pm2 0.500 0.000 0.293 1
Ho1 0.000 0.500 0.278 1
Ho2 0.500 0.000 0.722 1
# - E (eV per atom) = -6.1890
# - calculated density (g/cm3) = 9.0
# - space group = P4/nmm (129)
# - ΔH_f (0 K) (eV/atom) = 0.238

---

No. 6
# PBE DyTm5Pt4, relaxed
data_DyTm5Pt4
_space_group_name_H-M_alt 'P 1'
_space_group_IT_number 1
_space_group_name_Hall 'P 1'
_cell_length_a 4.154
_cell_length_b 7.557
_cell_length_c 9.418
_cell_angle_alpha 113.82
_cell_angle_beta 102.74
_cell_angle_gamma 90.00
loop_
_atom_site_label
_atom_site_fract_x
_atom_site_fract_y
_atom_site_fract_z
_atom_site_occupancy
Dy1 0.500 0.000 0.000 1
Tm1 0.835 0.594 0.670 1
Tm2 0.835 0.077 0.670 1
Tm3 0.165 0.923 0.330 1
Tm4 0.500 0.500 0.000 1
Tm5 0.165 0.406 0.330 1
Pt1 0.294 0.794 0.588 1
Pt2 0.000 0.742 0.000 1
Pt3 0.706 0.206 0.412 1
Pt4 0.000 0.258 0.000 1
# - E (eV per atom) = -6.1458
# - calculated density (g/cm3) = 11.3
# - space group = C2/m (12)
# - ΔH_f (0 K) (eV/atom) = -1.034

---

No. 7
# PBE TaGaFePd, relaxed
data_TaGaFePd
_space_group_name_H-M_alt 'P 1'
_space_group_IT_number 1
_space_group_name_Hall 'P 1'
_cell_length_a 4.372
_cell_length_b 4.372
_cell_length_c 4.372
_cell_angle_alpha 60.00
_cell_angle_beta 60.00
_cell_angle_gamma 60.00
loop_
_atom_site_label
_atom_site_fract_x
_atom_site_fract_y
_atom_site_fract_z
_atom_site_occupancy
Fe1 0.000 0.000 0.000 1
Ga1 0.250 0.250 0.250 1
Pd1 0.500 0.500 0.500 1
Ta1 0.750 0.750 0.750 1
# - E (eV per atom) = -7.3485
# - calculated density (g/cm3) = 11.6
# - space group = F-43m (216)
# - ΔH_f (0 K) (eV/atom) = -0.215

---

No. 8
# PBE Cu3As2, relaxed
data_Cu3As2
_space_group_name_H-M_alt 'P 1'
_space_group_IT_number 1
_space_group_name_Hall 'P 1'
_cell_length_a 6.296
_cell_length_b 6.296
_cell_length_c 5.910
_cell_angle_alpha 57.82
_cell_angle_beta 57.82
_cell_angle_gamma 60.00
loop_
_atom_site_label
_atom_site_fract_x
_atom_site_fract_y
_atom_site_fract_z
_atom_site_occupancy
As1 0.895 0.895 0.314 1
As2 0.395 0.395 0.814 1
As3 0.105 0.105 0.686 1
As4 0.605 0.605 0.186 1
Cu1 0.991 0.750 0.750 1
Cu2 0.750 0.509 0.750 1
Cu3 0.509 0.991 0.750 1
Cu4 0.250 0.491 0.250 1
Cu5 0.491 0.009 0.250 1
Cu6 0.009 0.250 0.250 1
# - E (eV per atom) = -4.1664
# - calculated density (g/cm3) = 7.1
# - space group = R-3c (167)
# - ΔH_f (0 K) (eV/atom) = 0.151

---

No. 9
# PBE Ca2ZrTe, relaxed
data_Ca2ZrTe
_space_group_name_H-M_alt 'P 1'
_space_group_IT_number 1
_space_group_name_Hall 'P 1'
_cell_length_a 6.298
_cell_length_b 6.298
_cell_length_c 6.298
_cell_angle_alpha 138.20
_cell_angle_beta 138.20
_cell_angle_gamma 60.59
loop_
_atom_site_label
_atom_site_fract_x
_atom_site_fract_y
_atom_site_fract_z
_atom_site_occupancy
Ca1 0.000 0.000 0.000 1
Ca2 0.500 0.500 0.000 1
Te1 0.250 0.750 0.500 1
Zr1 0.750 0.250 0.500 1
# - E (eV per atom) = -4.0810
# - calculated density (g/cm3) = 4.5
# - space group = I4/mmm (139)
# - uncorrected formation energy (eV/atom) = -0.16

---

No. 10
# PBE V8CoH2, relaxed
data_V8CoH2
_space_group_name_H-M_alt 'P 1'
_space_group_IT_number 1
_space_group_name_Hall 'P 1'
_cell_length_a 4.408
_cell_length_b 5.787
_cell_length_c 5.787
_cell_angle_alpha 61.46
_cell_angle_beta 84.09
_cell_angle_gamma 84.09
loop_
_atom_site_label
_atom_site_fract_x
_atom_site_fract_y
_atom_site_fract_z
_atom_site_occupancy
V1 0.207 0.120 0.585 1
V2 0.207 0.585 0.120 1
V3 0.793 0.880 0.415 1
V4 0.302 0.616 0.616 1
V5 0.793 0.415 0.880 1
V6 0.388 0.131 0.131 1
V7 0.612 0.869 0.869 1
V8 0.698 0.384 0.384 1
Co1 0.000 0.000 0.000 1
H1 0.020 0.249 0.249 1
H2 0.980 0.751 0.751 1
# - E (eV per atom) = -7.7147
# - calculated density (g/cm3) = 6.0
# - space group = C2/m (12)

---

No. 11
# PBE Tb2ErSb2Te2, relaxed
data_Tb2ErSb2Te2
_space_group_name_H-M_alt 'P 1'
_space_group_IT_number 1
_space_group_name_Hall 'P 1'
_cell_length_a 5.692
_cell_length_b 5.692
_cell_length_c 8.605
_cell_angle_alpha 109.31
_cell_angle_beta 109.31
_cell_angle_gamma 90.00
loop_
_atom_site_label
_atom_site_fract_x
_atom_site_fract_y
_atom_site_fract_z
_atom_site_occupancy
Tb1 0.388 0.388 0.775 1
Tb2 0.612 0.612 0.225 1
Er1 0.000 0.000 0.000 1
Sb1 0.000 0.500 0.000 1
Sb2 0.500 0.000 0.000 1
Te1 0.197 0.197 0.394 1
Te2 0.803 0.803 0.606 1
# - E (eV per atom) = -4.7351
# - calculated density (g/cm3) = 6.6
# - space group = I4/mmm (139)
# - uncorrected formation energy (eV/atom) = -0.68